Computed, not measured: SmTlPb2Se4 after structural relaxation at the GGA-PBE level of DFT.

## Properties
uncorrected formation energy = -909 meV/atom
DFT total energy = -35.71 eV/cell

```
data_SmTlPb2Se4
_chemical_formula_sum 'Sm1 Tl1 Pb2 Se4'
_symmetry_space_group_name_H-M 'P 1 2/m 1'
_symmetry_Int_Tables_number 10
_cell_length_a 7.5081
_cell_length_b 4.3635
_cell_length_c 7.6872
_cell_angle_alpha 90.00
_cell_angle_beta 108.57
_cell_angle_gamma 90.00
loop_
_symmetry_equiv_pos_as_xyz
'x,y,z'
'-x,-y,-z'
'-x,y,-z'
'x,-y,z'
loop_
_atom_site_label
_atom_site_fract_x
_atom_site_fract_y
_atom_site_fract_z
Sm1 0.0000 0.0000 0.0000
Tl1 0.0000 0.5000 0.5000
Pb1 0.5000 0.0000 0.5000
Pb2 0.5000 0.5000 0.0000
Se1 0.2385 0.5000 0.2303
Se2 0.2494 0.0000 0.7708
```